(1)
Computed, not measured: a relaxed LiNiHg2 crystal at the PBE level of DFT.

Summary:
- symmetry = C2/m, No. 12
- energy of formation (eV per atom) = 0.0284

Unit cell a=8.385 b=3.079 c=5.707 alpha=90.00 beta=100.32 gamma=90.00
Sites, in units of the cell vectors:
1 Li 0.000 0.000 0.000
2 Li 0.500 0.500 0.000
3 Ni 0.000 0.500 0.500
4 Ni 0.500 0.000 0.500
5 Hg 0.244 0.000 0.740
6 Hg 0.256 0.500 0.260
7 Hg 0.744 0.500 0.740
8 Hg 0.756 0.000 0.260

(2)
Computed, not measured: a relaxed KCaTe2 crystal at the PBE level of DFT.

Summary:
- symmetry = R3m, No. 160
- raw total energy (eV/cell) = -40.92

Unit cell a=4.627 b=4.627 c=24.557 alpha=90.00 beta=90.00 gamma=120.00
Sites, in units of the cell vectors:
1 K 0.000 0.000 0.000
2 K 0.333 0.667 0.667
3 K 0.667 0.333 0.333
4 Ca 0.000 0.000 0.170
5 Ca 0.333 0.667 0.837
6 Ca 0.667 0.333 0.503
7 Te 0.000 0.000 0.572
8 Te 0.000 0.000 0.766
9 Te 0.333 0.667 0.239
10 Te 0.333 0.667 0.432
11 Te 0.667 0.333 0.099
12 Te 0.667 0.333 0.905

(3)
Computed, not measured: a relaxed SmEr2Pt crystal at the PBE level of DFT.

Summary:
- symmetry = P4/mmm, No. 123
- energy of formation (eV per atom) = -0.6212
- distance to the lowest polymorph of the same formula (meV/atom) = 90.2

Unit cell a=3.539 b=3.539 c=8.532 alpha=90.00 beta=90.00 gamma=90.00
Sites, in units of the cell vectors:
1 Sm 0.000 0.000 0.000
2 Er 0.500 0.500 0.309
3 Er 0.500 0.500 0.691
4 Pt 0.000 0.000 0.500

(4)
Computed, not measured: a relaxed ZrAg2Os crystal at the PBE level of DFT.

Summary:
- symmetry = F-43m, No. 216
- energy of formation (eV per atom) = 0.2107
- distance to the lowest polymorph of the same formula (meV/atom) = 137.4

Unit cell a=6.593 b=6.593 c=6.593 alpha=90.00 beta=90.00 gamma=90.00
Sites, in units of the cell vectors:
1 Zr 0.000 0.000 0.000
2 Zr 0.000 0.500 0.500
3 Zr 0.500 0.000 0.500
4 Zr 0.500 0.500 0.000
5 Ag 0.000 0.000 0.500
6 Ag 0.000 0.500 0.000
7 Ag 0.250 0.250 0.750
8 Ag 0.250 0.750 0.250
9 Ag 0.500 0.000 0.000
10 Ag 0.500 0.500 0.500
11 Ag 0.750 0.250 0.250
12 Ag 0.750 0.750 0.750
13 Os 0.250 0.250 0.250
14 Os 0.250 0.750 0.750
15 Os 0.750 0.250 0.750
16 Os 0.750 0.750 0.250

(5)
Computed, not measured: a relaxed IrRuCl2 crystal at the PBE level of DFT.

Summary:
- symmetry = P4/mmm, No. 123
- distance to the lowest polymorph of the same formula (meV/atom) = 1168.2

Unit cell a=4.378 b=4.378 c=3.169 alpha=90.00 beta=90.00 gamma=90.00
Sites, in units of the cell vectors:
1 Ir 0.000 0.000 0.000
2 Ru 0.500 0.500 0.000
3 Cl 0.000 0.500 0.500
4 Cl 0.500 0.000 0.500

(6)
Computed, not measured: a relaxed Mn2ZnHg crystal at the PBE level of DFT.

Summary:
- symmetry = R-3m, No. 166
- energy of formation (eV per atom) = 0.3145
- distance to the lowest polymorph of the same formula (meV/atom) = 123.2

Unit cell a=2.952 b=2.952 c=26.514 alpha=90.00 beta=90.00 gamma=120.00
Sites, in units of the cell vectors:
1 Mn 0.000 0.000 0.244
2 Mn 0.000 0.000 0.756
3 Mn 0.333 0.667 0.423
4 Mn 0.333 0.667 0.910
5 Mn 0.667 0.333 0.090
6 Mn 0.667 0.333 0.577
7 Zn 0.000 0.000 0.500
8 Zn 0.333 0.667 0.167
9 Zn 0.667 0.333 0.833
10 Hg 0.000 0.000 0.000
11 Hg 0.333 0.667 0.667
12 Hg 0.667 0.333 0.333